A relaxed Ho2ErPaFe2 crystal, computed with PBE.

Calculated values
Its density is 9.9 g/cm3. As for the total energy: -40.46 eV per formula unit. The energy of formation from the pure elements is -0.053 eV per atom. The symmetry is Ibam, No. 72.

Cell: 6.482 6.710 7.958 Å, 114.93 114.03 90.00°
Fractional positions:
Ho 0.700 0.898 0.400
Ho 0.200 0.502 0.400
Ho 0.800 0.498 0.600
Ho 0.300 0.102 0.600
Er 0.250 0.000 0.000
Er 0.750 0.000 0.000
Pa 0.750 0.500 0.000
Pa 0.250 0.500 0.000
Fe 0.403 0.601 0.807
Fe 0.597 0.399 0.193
Fe 0.097 0.795 0.193
Fe 0.903 0.205 0.807